The following is a DFT calculation (GGA-PBE) of a relaxed structure of PrScAgOs.

a = 6.972 Å, b = 6.972 Å, c = 6.972 Å
α = 90.00°, β = 90.00°, γ = 90.00°
Element x y z (fractional)
Pr 0.000 0.000 0.000
Pr 0.000 0.500 0.500
Pr 0.500 0.000 0.500
Pr 0.500 0.500 0.000
Sc 0.000 0.000 0.500
Sc 0.000 0.500 0.000
Sc 0.500 0.000 0.000
Sc 0.500 0.500 0.500
Ag 0.250 0.250 0.750
Ag 0.250 0.750 0.250
Ag 0.750 0.250 0.250
Ag 0.750 0.750 0.750
Os 0.250 0.250 0.250
Os 0.250 0.750 0.750
Os 0.750 0.250 0.750
Os 0.750 0.750 0.250

Values from the calculation:
ΔH_f (0 K)	-0.12	eV per atom
total energy	-6.420	eV per atom
SG	F-43m



The following is a DFT calculation (GGA-PBE) of a relaxed structure of TbPrAgOs.

a = 7.157 Å, b = 7.157 Å, c = 7.157 Å
α = 90.00°, β = 90.00°, γ = 90.00°
Element x y z (fractional)
Tb 0.000 0.000 0.000
Tb 0.000 0.500 0.500
Tb 0.500 0.000 0.500
Tb 0.500 0.500 0.000
Pr 0.000 0.000 0.500
Pr 0.000 0.500 0.000
Pr 0.500 0.000 0.000
Pr 0.500 0.500 0.500
Ag 0.250 0.250 0.750
Ag 0.250 0.750 0.250
Ag 0.750 0.250 0.250
Ag 0.750 0.750 0.750
Os 0.250 0.250 0.250
Os 0.250 0.750 0.750
Os 0.750 0.250 0.750
Os 0.750 0.750 0.250

Values from the calculation:
ΔH_f (0 K)	-0.14	eV per atom
total energy	-6.015	eV per atom
SG	F-43m



The following is a DFT calculation (GGA-PBE) of a relaxed structure of PrThAgOs.

a = 7.290 Å, b = 7.290 Å, c = 7.290 Å
α = 90.00°, β = 90.00°, γ = 90.00°
Element x y z (fractional)
Pr 0.000 0.000 0.000
Pr 0.000 0.500 0.500
Pr 0.500 0.000 0.500
Pr 0.500 0.500 0.000
Th 0.000 0.000 0.500
Th 0.000 0.500 0.000
Th 0.500 0.000 0.000
Th 0.500 0.500 0.500
Ag 0.250 0.250 0.750
Ag 0.250 0.750 0.250
Ag 0.750 0.250 0.250
Ag 0.750 0.750 0.750
Os 0.250 0.250 0.250
Os 0.250 0.750 0.750
Os 0.750 0.250 0.750
Os 0.750 0.750 0.250

Values from the calculation:
ΔH_f (0 K)	-0.08	eV per atom
total energy	-6.647	eV per atom
SG	F-43m



The following is a DFT calculation (GGA-PBE) of a relaxed structure of PrTmAgOs.

a = 7.102 Å, b = 7.102 Å, c = 7.102 Å
α = 90.00°, β = 90.00°, γ = 90.00°
Element x y z (fractional)
Pr 0.000 0.000 0.000
Pr 0.000 0.500 0.500
Pr 0.500 0.000 0.500
Pr 0.500 0.500 0.000
Tm 0.000 0.000 0.500
Tm 0.000 0.500 0.000
Tm 0.500 0.000 0.000
Tm 0.500 0.500 0.500
Ag 0.250 0.250 0.250
Ag 0.250 0.750 0.750
Ag 0.750 0.250 0.750
Ag 0.750 0.750 0.250
Os 0.250 0.250 0.750
Os 0.250 0.750 0.250
Os 0.750 0.250 0.250
Os 0.750 0.750 0.750

Values from the calculation:
ΔH_f (0 K)	-0.16	eV per atom
total energy	-5.997	eV per atom
SG	F-43m



The following is a DFT calculation (GGA-PBE) of a relaxed structure of AgOsPt.

a = 2.782 Å, b = 2.782 Å, c = 7.025 Å
α = 90.00°, β = 90.00°, γ = 120.00°
Element x y z (fractional)
Ag 0.000 0.000 0.000
Os 0.667 0.333 0.344
Pt 0.333 0.667 0.652

Values from the calculation:
ΔH_f (0 K)	0.30	eV per atom
distance to the lowest polymorph of the same formula	0.000	eV/atom
total energy	-6.404	eV per atom
SG	P3m1



The following is a DFT calculation (GGA-PBE) of a relaxed structure of AgOsPt2.

a = 3.979 Å, b = 3.979 Å, c = 7.867 Å
α = 90.00°, β = 90.00°, γ = 90.00°
Element x y z (fractional)
Ag 0.000 0.000 0.000
Ag 0.500 0.500 0.500
Os 0.000 0.000 0.500
Os 0.500 0.500 0.000
Pt 0.000 0.500 0.250
Pt 0.000 0.500 0.750
Pt 0.500 0.000 0.250
Pt 0.500 0.000 0.750

Values from the calculation:
ΔH_f (0 K)	0.36	eV per atom
distance to the lowest polymorph of the same formula	0.279	eV/atom
total energy	-6.178	eV per atom
SG	I4/mmm



The following is a DFT calculation (GGA-PBE) of a relaxed structure of AgOsPt2.

a = 2.794 Å, b = 3.922 Å, c = 5.727 Å
α = 90.00°, β = 90.00°, γ = 90.00°
Element x y z (fractional)
Ag 0.000 0.000 0.000
Os 0.000 0.000 0.500
Pt 0.500 0.500 0.267
Pt 0.500 0.500 0.733

Values from the calculation:
ΔH_f (0 K)	0.23	eV per atom
distance to the lowest polymorph of the same formula	0.143	eV/atom
total energy	-6.314	eV per atom
SG	Pmmm



The following is a DFT calculation (GGA-PBE) of a relaxed structure of AgOsPt2.

a = 2.792 Å, b = 2.792 Å, c = 8.109 Å
α = 90.00°, β = 90.00°, γ = 90.00°
Element x y z (fractional)
Ag 0.000 0.000 0.000
Os 0.000 0.000 0.500
Pt 0.500 0.500 0.271
Pt 0.500 0.500 0.729

Values from the calculation:
ΔH_f (0 K)	0.10	eV per atom
distance to the lowest polymorph of the same formula	0.015	eV/atom
total energy	-6.442	eV per atom
SG	P4/mmm



The following is a DFT calculation (GGA-PBE) of a relaxed structure of AgOsPt.

a = 2.753 Å, b = 4.720 Å, c = 14.761 Å
α = 90.00°, β = 90.00°, γ = 90.00°
Element x y z (fractional)
Ag 0.000 0.000 0.000
Ag 0.000 0.500 0.500
Ag 0.500 0.000 0.500
Ag 0.500 0.500 0.000
Os 0.000 0.000 0.330
Os 0.000 0.500 0.830
Os 0.500 0.000 0.830
Os 0.500 0.500 0.330
Pt 0.000 0.000 0.670
Pt 0.000 0.500 0.170
Pt 0.500 0.000 0.170
Pt 0.500 0.500 0.670

Values from the calculation:
ΔH_f (0 K)	0.47	eV per atom
distance to the lowest polymorph of the same formula	0.165	eV/atom
total energy	-6.238	eV per atom
SG	Fmm2



The following is a DFT calculation (GGA-PBE) of a relaxed structure of AgOs4Pt.

a = 5.166 Å, b = 5.166 Å, c = 5.166 Å
α = 60.00°, β = 60.00°, γ = 60.00°
Element x y z (fractional)
Ag 0.000 0.000 0.000
Os 0.127 0.624 0.624
Os 0.624 0.127 0.624
Os 0.624 0.624 0.127
Os 0.624 0.624 0.624
Pt 0.250 0.250 0.250

Values from the calculation:
ΔH_f (0 K)	0.90	eV per atom
total energy	-8.072	eV per atom
SG	F-43m



The following is a DFT calculation (GGA-PBE) of a relaxed structure of AgOsPt2.

a = 3.964 Å, b = 3.964 Å, c = 3.985 Å
α = 90.00°, β = 90.00°, γ = 90.00°
Element x y z (fractional)
Ag 0.000 0.000 0.000
Os 0.500 0.500 0.000
Pt 0.000 0.500 0.500
Pt 0.500 0.000 0.500

Values from the calculation:
ΔH_f (0 K)	0.47	eV per atom
distance to the lowest polymorph of the same formula	0.382	eV/atom
total energy	-6.074	eV per atom
SG	P4/mmm



The following is a DFT calculation (GGA-PBE) of a relaxed structure of AgOsPt2.

a = 3.982 Å, b = 3.982 Å, c = 7.862 Å
α = 90.00°, β = 90.00°, γ = 90.00°
Element x y z (fractional)
Ag 0.000 0.000 0.000
Ag 0.500 0.500 0.500
Os 0.000 0.500 0.750
Os 0.500 0.000 0.250
Pt 0.000 0.000 0.500
Pt 0.000 0.500 0.250
Pt 0.500 0.000 0.750
Pt 0.500 0.500 0.000

Values from the calculation:
ΔH_f (0 K)	0.38	eV per atom
distance to the lowest polymorph of the same formula	0.300	eV/atom
total energy	-6.157	eV per atom
SG	I-4m2



The following is a DFT calculation (GGA-PBE) of a relaxed structure of AgOs3Pt.

a = 4.756 Å, b = 4.756 Å, c = 4.756 Å
α = 90.00°, β = 90.00°, γ = 90.00°
Element x y z (fractional)
Ag 0.000 0.000 0.000
Os 0.000 0.500 0.500
Os 0.500 0.000 0.500
Os 0.500 0.500 0.000
Pt 0.500 0.500 0.500

Values from the calculation:
ΔH_f (0 K)	2.62	eV per atom
distance to the lowest polymorph of the same formula	0.000	eV/atom
total energy	-5.900	eV per atom
SG	Pm-3m



The following is a DFT calculation (GGA-PBE) of a relaxed structure of AgOsPt2.

a = 2.734 Å, b = 4.515 Å, c = 10.961 Å
α = 90.00°, β = 90.00°, γ = 90.00°
Element x y z (fractional)
Ag 0.000 0.000 0.000
Ag 0.500 0.500 0.500
Os 0.000 0.500 0.268
Os 0.500 0.000 0.768
Pt 0.000 0.000 0.570
Pt 0.000 0.500 0.828
Pt 0.500 0.000 0.328
Pt 0.500 0.500 0.070

Values from the calculation:
ΔH_f (0 K)	0.32	eV per atom
distance to the lowest polymorph of the same formula	0.238	eV/atom
total energy	-6.219	eV per atom
SG	Imm2



The following is a DFT calculation (GGA-PBE) of a relaxed structure of AgOsPt2.

a = 2.718 Å, b = 4.828 Å, c = 4.865 Å
α = 90.00°, β = 90.00°, γ = 90.00°
Element x y z (fractional)
Ag 0.000 0.000 0.000
Os 0.500 0.000 0.500
Pt 0.000 0.500 0.500
Pt 0.500 0.500 0.000

Values from the calculation:
ΔH_f (0 K)	0.50	eV per atom
distance to the lowest polymorph of the same formula	0.413	eV/atom
total energy	-6.043	eV per atom
SG	Pmmm